# 1
Compound: Pr2AlPd7
Source: Alexandria
Functional: PBE
Structure: optimized geometry

## Properties
E_form: -255.4 meV per atom
Total energy: -52.21 eV per formula unit
D(E_F): 6.5 states/eV/f.u.

Cell: 9.556 9.556 9.556 Å, 90.00 90.00 90.00°
Space group Fm-3m (No. 225)
Symmetry-distinct sites (fractional):
Pr (0.250, 0.250, 0.250) (multiplicity 8)
Al (0.000, 0.000, 0.000) (multiplicity 4)
Pd (0.000, 0.000, 0.238) (multiplicity 24)
Pd (0.000, 0.000, 0.500) (multiplicity 4)

***

# 2
Compound: Ac7La2Pr2
Source: Alexandria
Functional: PBE
Structure: optimized geometry

## Properties
Energy above the lowest structure with this stoichiometry: 0.1100 eV/atom
E_form: 211.3 meV per atom
Total energy: -45.85 eV per formula unit
D(E_F): 20.6 states/eV/f.u.

Cell: 10.912 12.983 7.316 Å, 90.00 114.97 90.00°
Space group C2/m (No. 12)
Symmetry-distinct sites (fractional):
Ac (0.000, 0.000, 0.000) (multiplicity 2)
Ac (0.166, 0.500, 0.482) (multiplicity 4)
Ac (0.178, 0.250, 0.201) (multiplicity 8)
La (0.000, 0.131, 0.500) (multiplicity 4)
Pr (0.163, 0.500, 0.984) (multiplicity 4)

***

# 3
Compound: Sc2TaAg
Source: Alexandria
Functional: PBE
Structure: optimized geometry

## Properties
Energy above the lowest structure with this stoichiometry: 0.2574 eV/atom
E_form: 204.6 meV per atom
Total energy: -26.55 eV per formula unit
D(E_F): 5.6 states/eV/f.u.

Cell: 4.406 4.406 8.282 Å, 90.00 90.00 90.00°
Space group I4/mmm (No. 139)
Symmetry-distinct sites (fractional):
Sc (0.000, 0.500, 0.250) (multiplicity 4)
Ta (0.000, 0.000, 0.000) (multiplicity 2)
Ag (0.000, 0.000, 0.500) (multiplicity 2)